An optimized crystal structure of Fe3P. Source: Alexandria, functional PBE-GGA.

Geometry as POSCAR:
```
Fe3P
1.0
-2.5713 1.2031 -0.0984
-0.6620 -1.2120 2.4822
1.9245 4.3279 2.6265
Fe P
3 1
Direct
0.5000 0.5000 0.7654
0.0000 0.0000 0.5000
0.5000 0.5000 0.2346
0.0000 0.0000 0.0000
```

VASP energy	-31.37	eV for the cell shown
formation enthalpy at 0 K	-0.57	eV/f.u.
space group	No. 123

An optimized crystal structure of Sm5Zn2Te2. Source: Alexandria, functional PBE-GGA.

Geometry as POSCAR:
```
Sm5Zn2Te2
1.0
1.0801 -7.8989 1.4436
5.2053 -0.3726 -5.9336
6.4507 -2.2135 5.7980
Sm Zn Te
10 4 4
Direct
0.9638 0.3374 0.7367
0.7995 0.8374 0.7367
0.5000 0.5000 0.0000
0.5362 0.8374 0.2633
0.7005 0.3374 0.2633
0.4638 0.1626 0.7367
0.2995 0.6626 0.7367
0.0000 0.0000 0.0000
0.0362 0.6626 0.2633
0.2005 0.1626 0.2633
0.6255 0.1202 0.0000
0.8745 0.6202 0.0000
0.1255 0.3798 0.0000
0.3745 0.8798 0.0000
0.2976 0.5000 0.4047
0.2024 0.0000 0.5953
0.7976 0.0000 0.4047
0.7024 0.5000 0.5953
```

VASP energy	-78.18	eV for the cell shown
uncorrected formation energy	-740	meV per atom
space group	No. 64

An optimized crystal structure of Nd8Dy6Sc. Source: Alexandria, functional PBE-GGA.

Geometry as POSCAR:
```
Nd8Dy6Sc
1.0
7.8474 0.1169 3.7865
2.4254 7.4641 3.7865
0.1584 0.1169 8.7117
Sc Nd Dy
1 8 6
Direct
0.0000 0.0000 0.0000
0.5779 0.5779 0.5779
0.4221 0.4221 0.4221
0.7538 0.1119 0.7175
0.2462 0.8881 0.2825
0.8881 0.2825 0.2462
0.2825 0.2462 0.8881
0.7175 0.7538 0.1119
0.1119 0.7175 0.7538
0.2426 0.0977 0.5433
0.7574 0.9023 0.4567
0.9023 0.4567 0.7574
0.4567 0.7574 0.9023
0.0977 0.5433 0.2426
0.5433 0.2426 0.0977
```

VASP energy	-70.25	eV for the cell shown
formation enthalpy at 0 K	1.83	eV/f.u.
space group	No. 148

An optimized crystal structure of CdRhCl6. Source: Alexandria, functional PBE-GGA.

Geometry as POSCAR:
```
CdRhCl6
1.0
6.3481 -0.1458 -1.6030
-2.0628 6.0054 -1.6030
0.1684 0.2303 6.5831
Cd Cl Rh
1 6 1
Direct
0.0000 0.0000 0.5000
0.0302 0.7169 0.7301
0.2831 0.9698 0.2699
0.7448 0.7448 0.0988
0.2552 0.2552 0.9012
0.7169 0.0302 0.7301
0.9698 0.2831 0.2699
0.0000 0.0000 0.0000
```

VASP energy	-24.49	eV for the cell shown
uncorrected formation energy	-642	meV per atom
space group	No. 12

An optimized crystal structure of NdTm4Sc2. Source: Alexandria, functional PBE-GGA.

Geometry as POSCAR:
```
NdTm4Sc2
1.0
5.5097 0.0000 0.0000
0.0000 5.5097 0.0000
-2.7549 -2.7549 7.8525
Sc Tm Nd
2 4 1
Direct
0.3942 0.3942 0.7884
0.6058 0.6058 0.2116
0.5000 0.0000 0.0000
0.0000 0.5000 0.0000
0.8130 0.8130 0.6261
0.1870 0.1870 0.3739
0.0000 0.0000 0.0000
```

VASP energy	-29.89	eV for the cell shown
formation enthalpy at 0 K	5.43	eV/f.u.
space group	No. 139

An optimized crystal structure of Pm8C3I4Cl. Source: Alexandria, functional PBE-GGA.

Geometry as POSCAR:
```
Pm8C3I4Cl
1.0
-2.5350 7.1490 2.1875
-6.5949 -3.7641 4.6590
7.3278 -2.3142 1.8105
Pm C I Cl
8 3 4 1
Direct
0.2752 0.3257 0.5505
0.7622 0.3254 0.5244
0.7622 0.3253 0.0630
0.2378 0.6746 0.4756
0.6991 0.6747 0.9370
0.7248 0.6743 0.4495
0.3009 0.3253 0.0630
0.2378 0.6747 0.9370
0.5000 0.5000 0.5000
0.0000 0.5000 0.5000
0.5000 0.5000 0.0000
0.0000 0.0000 0.0000
0.5000 0.0000 0.0000
0.0000 0.0000 0.5000
0.5000 0.0000 0.5000
0.0000 0.5000 0.0000
```

VASP energy	-86.86	eV for the cell shown
uncorrected formation energy	-821	meV per atom
space group	No. 166

An optimized crystal structure of Cs2ZnPd. Source: Alexandria, functional PBE-GGA.

Geometry as POSCAR:
```
Cs2ZnPd
1.0
0.8214 -4.8031 3.6667
-3.4655 -4.9734 -0.6672
2.4334 -5.1386 -2.2051
Cs Zn Pd
2 1 1
Direct
0.7500 0.7500 0.7500
0.2500 0.2500 0.2500
0.0000 0.0000 0.0000
0.5000 0.5000 0.5000
```

VASP energy	-7.27	eV for the cell shown
formation enthalpy at 0 K	0.91	eV/f.u.
space group	No. 225

An optimized crystal structure of AlV2Re. Source: Alexandria, functional PBE-GGA.

Geometry as POSCAR:
```
AlV2Re
1.0
-6.1549 3.3606 -0.6730
-2.8224 -4.1851 4.9141
-3.7786 1.2543 3.9477
V Re Al
4 2 2
Direct
0.0885 0.6250 0.2500
0.8750 0.9115 0.7500
0.6615 0.1250 0.2500
0.3750 0.3385 0.7500
0.7500 0.2500 0.5000
0.0000 0.0000 0.0000
0.5000 0.5000 0.0000
0.2500 0.7500 0.5000
```

VASP energy	-65.17	eV for the cell shown
formation enthalpy at 0 K	1.84	eV/f.u.
space group	No. 122

Across the entries above, DOS at the Fermi energy takes the values 0.66; 1.11; 1.54; 0.75; 1.23; 0.57; 0.01; 0.97 states/eV/atom, respectively.